Density functional theory data (GGA+U) for CsVS2O8 after structural relaxation. Values from VASP.

Total DFT energy (no corrections) (eV per formula unit): -76.87

Quantum ESPRESSO input file:
```
&SYSTEM
  ibrav = 0, nat = 12, ntyp = 4
/
ATOMIC_SPECIES
O 16.00 O.upf
V 50.94 V.upf
S 32.06 S.upf
Cs 132.91 Cs.upf
CELL_PARAMETERS angstrom
-4.010 1.680 2.426
-0.492 -2.016 -4.525
-1.139 -8.121 3.742
ATOMIC_POSITIONS crystal
O 0.667 0.333 0.148
O 0.362 0.285 0.366
O 0.638 0.715 0.634
O 0.078 0.362 0.634
O 0.333 0.667 0.852
O 0.285 0.922 0.634
O 0.922 0.638 0.366
O 0.715 0.078 0.366
V 0.000 0.000 0.500
S 0.333 0.667 0.690
S 0.667 0.333 0.310
Cs 0.000 0.000 0.000
```